Here is CaDyGaHg after structural relaxation from the Alexandria database. Energies are from PBE.

Computed properties:
Calculated volume   401.09 Å³ per cell
E above lowest polymorph   0.009 eV/atom
Crystal system   cubic
Spin magnetization   0.00 μB per atom

Cell lengths 7.375, 7.375, 7.375 Å; angles 90.00, 90.00, 90.00 degrees
Space group F-43m (No. 216)
Unique sites:
1 Ca 0.000 0.000 0.000 [4 per cell]
2 Dy 0.000 0.000 0.500 [4 per cell]
3 Ga 0.250 0.250 0.250 [4 per cell]
4 Hg 0.250 0.250 0.750 [4 per cell]